# Na3Tl2Pb3 (GGA-PBE, relaxed)
# Distance to the lowest polymorph of the same formula, eV/f.u.: 0.12
# Final energy, eV/cell: -41.2
# E_form, eV per formula unit: -0.78
data_Na3Tl2Pb3
_chemical_formula_sum 'Na6 Tl4 Pb6'
_cell_length_a 16.246
_cell_length_b 5.453
_cell_length_c 5.688
_cell_angle_alpha 90.00
_cell_angle_beta 110.39
_cell_angle_gamma 90.00
_space_group_name_H-M_alt 'C 1 2/m 1'
_space_group_IT_number 12
loop_
_space_group_symop_operation_xyz
'x,y,z'
'-x,-y,-z'
'-x,y,-z'
'x,-y,z'
'x+1/2,y+1/2,z'
'-x+1/2,-y+1/2,-z'
'-x+1/2,y+1/2,-z'
'x+1/2,-y+1/2,z'
loop_
_atom_site_label
_atom_site_type_symbol
_atom_site_fract_x
_atom_site_fract_y
_atom_site_fract_z
Na1 Na 0.000 0.000 0.000
Na2 Na 0.131 0.000 0.631
Tl1 Tl 0.249 0.000 0.249
Pb1 Pb 0.000 0.500 0.500
Pb2 Pb 0.124 0.500 0.125